Below is CoTe2 after structural relaxation, with properties calculated at the PBE level.

Results
Space group: No. 31
Total DFT energy (no corrections) (eV/f.u.): -13.94

Cell: 3.732 6.490 11.698 Å, 90.00 90.00 90.00°
Fractional coordinates of all 12 atoms:
Te 0.500 0.199 0.892
Te 0.500 0.862 0.122
Te 0.500 0.302 0.392
Co 0.000 0.030 0.007
Te 0.500 0.639 0.623
Co 0.500 0.530 0.008
Co 0.000 0.470 0.508
Te 0.000 0.801 0.392
Te 0.000 0.698 0.892
Co 0.500 0.970 0.507
Te 0.000 0.138 0.622
Te 0.000 0.361 0.123